[1]
First-principles (GGA-PBE) data for an optimized crystal structure of Ho2Mg2Te, as listed in OQMD.

Results
VASP energy	-14.5	eV for the cell shown

Lattice parameters (Å, degrees): 4.3642 4.3642 7.9572 90.00 90.00 90.00
Last column: nearest neighbours and their distance in Å.
Space group P4/mmm (No. 123)
One atom of each set of equivalent atoms:
Ho (0.0000, 0.5000, 0.0000) [2 per cell]  4 Ho 3.09, 4 Mg 3.34
Mg (0.0000, 0.0000, 0.3177) [2 per cell]  1 Mg 2.90
Te (0.5000, 0.5000, 0.5000) [1 per cell]  8 Mg 3.41

[2]
First-principles (GGA-PBE) data for an optimized crystal structure of HoThMg, as listed in OQMD.

Results
distance to the lowest polymorph of the same formula	0.0	meV per atom

Lattice parameters (Å, degrees): 7.3526 7.3526 7.3526 90.00 90.00 90.00
Last column: nearest neighbours and their distance in Å.
Space group F-43m (No. 216)
One atom of each set of equivalent atoms:
Ho (0.0000, 0.0000, 0.0000) [4 per cell]  4 Mg 3.18
Th (0.0000, 0.0000, 0.5000) [4 per cell]  4 Mg 3.18
Mg (0.2500, 0.2500, 0.2500) [4 per cell]  4 Th 3.18, 4 Ho 3.18

[3]
First-principles (GGA-PBE) data for an optimized crystal structure of HoMgTl2, as listed in OQMD.

Results
VASP energy	-11.9	eV for the cell shown

Lattice parameters (Å, degrees): 4.7428 4.7428 4.4276 90.00 90.00 90.00
Last column: nearest neighbours and their distance in Å.
Space group P4/mmm (No. 123)
One atom of each set of equivalent atoms:
Ho (0.0000, 0.0000, 0.0000) [1 per cell]  8 Tl 3.24, 4 Mg 3.35
Mg (0.5000, 0.5000, 0.0000) [1 per cell]  8 Tl 3.24, 4 Ho 3.35
Tl (0.0000, 0.5000, 0.5000) [2 per cell]  4 Ho 3.24, 4 Mg 3.24, 4 Tl 3.35